The following is a GGA-PBE calculation of SrAsI2 after structural relaxation, from Alexandria via LeMat-Bulk.

The calculation puts the uncorrected formation energy at -46 kJ per mole of atoms. As for the space group: I-42d. The value obtained for the final energy is -2.837 eV per atom. The value obtained for the density of states at the Fermi level is 2.751 states/eV/f.u. The value obtained for the density is 4455 kg/m3.

a = 5.485 Å, b = 5.485 Å, c = 20.636 Å
α = 90.00°, β = 90.00°, γ = 90.00°
Element x y z (fractional)
1 Sr 0.000 0.000 0.000
2 Sr 0.000 0.500 0.250
3 Sr 0.500 0.000 0.750
4 Sr 0.500 0.500 0.500
5 As 0.000 0.000 0.500
6 As 0.000 0.500 0.750
7 As 0.500 0.000 0.250
8 As 0.500 0.500 0.000
9 I 0.224 0.250 0.625
10 I 0.250 0.724 0.875
11 I 0.250 0.776 0.375
12 I 0.276 0.250 0.125
13 I 0.724 0.750 0.125
14 I 0.750 0.224 0.375
15 I 0.750 0.276 0.875
16 I 0.776 0.750 0.625